This record from Alexandria via LeMat-Bulk describes Cu4As2H after structural relaxation. The functional is PBE.

Computed properties:
total magnetization = 0.0 μB/cell
crystal system = monoclinic
calculated total energy = -56.16 eV/cell

a b c (Å): 6.2786 6.2797 6.2779
angles (deg): 116.18 116.06 96.89
With the nearest neighbours (Å) after each atom.
Sites, in units of the cell vectors:
Cu (0.7032, 0.9024, 0.6755)  1 H 1.81
Cu (0.9718, 0.2985, 0.2010)  1 H 1.82
Cu (0.0576, 0.2594, 0.6304)  1 H 1.71
Cu (0.5728, 0.9433, 0.2039)  1 H 1.71
Cu (0.6291, 0.4272, 0.3699)  1 H 1.71
Cu (0.0976, 0.7711, 0.7990)  1 H 1.82
Cu (0.7393, 0.3683, 0.7957)  1 H 1.71
Cu (0.2274, 0.0283, 0.3246)  1 H 1.81
As (0.2600, 0.5877, 0.1469)  8 Cu 2.50-2.77
As (0.4133, 0.5594, 0.6736)  8 Cu 2.50-2.77
As (0.8859, 0.7395, 0.3263)  8 Cu 2.50-2.77
As (0.4406, 0.1136, 0.8534)  8 Cu 2.50-2.77
H (0.7514, 0.2512, 0.5000)  4 Cu 1.71
H (0.0001, 0.0002, 0.9999)  4 Cu 1.81-1.82